Record 1
{"formula": "ScCrTc", "functional": "PBE-GGA", "state": "relaxed", "formation_energy_ev_per_atom": -0.064, "space_group": "I4mm, No. 107", "e_tot_ev_per_atom": -8.837, "total_magnetization_mub_per_cell": 0.00, "polymorph_energy_mev_per_atom": 84.9, "lattice_angstrom": [[-1.527, 1.527, 4.992], [1.527, -1.527, 4.992], [1.527, 1.527, -4.992]], "species": ["Sc", "Cr", "Tc"], "fractional_positions": [[0.000, 0.000, 0.000], [0.684, 0.684, 0.000], [0.313, 0.313, 0.000]]}

***

Record 2
{"formula": "ScCrTc2", "functional": "PBE-GGA", "state": "relaxed", "formation_energy_ev_per_atom": 0.040, "space_group": "P4mm, No. 99", "e_tot_ev_per_atom": -9.132, "total_magnetization_mub_per_cell": 0.00, "lattice_angstrom": [[3.072, 0.000, 0.000], [0.000, 3.072, 0.000], [0.000, 0.000, 6.455]], "species": ["Sc", "Cr", "Tc", "Tc"], "fractional_positions": [[0.000, 0.000, 0.000], [0.500, 0.500, 0.728], [0.000, 0.000, 0.518], [0.500, 0.500, 0.276]]}

***

Record 3
{"formula": "ScCr2Tc2", "functional": "PBE-GGA", "state": "relaxed", "formation_energy_ev_per_atom": 0.171, "space_group": "I4/mmm, No. 139", "e_tot_ev_per_atom": -9.091, "total_magnetization_mub_per_cell": 0.00, "polymorph_energy_mev_per_atom": 20.9, "lattice_angstrom": [[-2.031, 2.031, 5.022], [2.031, -2.031, 5.022], [2.031, 2.031, -5.022]], "species": ["Sc", "Cr", "Cr", "Tc", "Tc"], "fractional_positions": [[0.000, 0.000, 0.000], [0.250, 0.750, 0.500], [0.750, 0.250, 0.500], [0.375, 0.375, 0.000], [0.625, 0.625, 0.000]]}

***

Record 4
{"formula": "ScCrTc", "functional": "PBE-GGA", "state": "relaxed", "formation_energy_ev_per_atom": 0.034, "space_group": "Cmcm, No. 63", "e_tot_ev_per_atom": -8.739, "total_magnetization_mub_per_cell": 0.00, "polymorph_energy_mev_per_atom": 183.0, "lattice_angstrom": [[2.023, -5.045, 0.000], [2.023, 5.045, 0.000], [0.000, 0.000, 4.637]], "species": ["Sc", "Sc", "Cr", "Cr", "Tc", "Tc"], "fractional_positions": [[0.086, 0.914, 0.750], [0.914, 0.086, 0.250], [0.239, 0.761, 0.250], [0.761, 0.239, 0.750], [0.384, 0.616, 0.750], [0.616, 0.384, 0.250]]}

***

Record 5
{"formula": "ScCr2Tc", "functional": "PBE-GGA", "state": "relaxed", "formation_energy_ev_per_atom": 0.145, "space_group": "P4/mmm, No. 123", "e_tot_ev_per_atom": -8.841, "total_magnetization_mub_per_cell": 1.12, "polymorph_energy_mev_per_atom": 51.5, "lattice_angstrom": [[3.024, 0.000, 0.000], [0.000, 3.024, 0.000], [0.000, 0.000, 6.467]], "species": ["Sc", "Cr", "Cr", "Tc"], "fractional_positions": [[0.000, 0.000, 0.000], [0.500, 0.500, 0.282], [0.500, 0.500, 0.718], [0.000, 0.000, 0.500]]}

***

Record 6
{"formula": "ScCrTc2", "functional": "PBE-GGA", "state": "relaxed", "formation_energy_ev_per_atom": 0.006, "space_group": "F-43m, No. 216", "e_tot_ev_per_atom": -9.166, "total_magnetization_mub_per_cell": 0.62, "lattice_angstrom": [[0.000, 3.101, 3.101], [3.101, 0.000, 3.101], [3.101, 3.101, 0.000]], "species": ["Sc", "Cr", "Tc", "Tc"], "fractional_positions": [[0.000, 0.000, 0.000], [0.250, 0.250, 0.250], [0.500, 0.500, 0.500], [0.750, 0.750, 0.750]]}

***

Record 7
{"formula": "ScCr2Tc", "functional": "PBE-GGA", "state": "relaxed", "formation_energy_ev_per_atom": 0.395, "space_group": "Cmmm, No. 65", "e_tot_ev_per_atom": -8.591, "total_magnetization_mub_per_cell": 0.00, "polymorph_energy_mev_per_atom": 302.1, "lattice_angstrom": [[2.514, -4.422, 0.000], [2.514, 4.422, 0.000], [0.000, 0.000, 2.616]], "species": ["Sc", "Cr", "Cr", "Tc"], "fractional_positions": [[0.000, 0.000, 0.000], [0.000, 0.500, 0.500], [0.500, 0.000, 0.500], [0.500, 0.500, 0.000]]}

***

Record 8
{"formula": "ScCr2Tc", "functional": "PBE-GGA", "state": "relaxed", "formation_energy_ev_per_atom": 0.189, "space_group": "P2/m, No. 10", "e_tot_ev_per_atom": -8.798, "total_magnetization_mub_per_cell": 0.00, "polymorph_energy_mev_per_atom": 95.2, "lattice_angstrom": [[2.789, 0.000, 0.000], [0.000, 4.195, 0.000], [-1.148, 0.000, 5.049]], "species": ["Sc", "Cr", "Cr", "Tc"], "fractional_positions": [[0.000, 0.000, 0.000], [0.240, 0.500, 0.707], [0.760, 0.500, 0.293], [0.500, 0.000, 0.500]]}

***

Record 9
{"formula": "ScCr2Tc", "functional": "PBE-GGA", "state": "relaxed", "formation_energy_ev_per_atom": 0.306, "space_group": "Cmmm, No. 65", "e_tot_ev_per_atom": -8.680, "total_magnetization_mub_per_cell": 0.00, "polymorph_energy_mev_per_atom": 212.4, "lattice_angstrom": [[1.537, -2.219, 0.000], [1.537, 2.219, 0.000], [0.000, 0.000, 8.554]], "species": ["Sc", "Cr", "Cr", "Tc"], "fractional_positions": [[0.000, 0.000, 0.000], [0.500, 0.500, 0.270], [0.500, 0.500, 0.730], [0.000, 0.000, 0.500]]}

***

Record 10
{"formula": "ThScCrTc", "functional": "PBE-GGA", "state": "relaxed", "formation_energy_ev_per_atom": 0.048, "space_group": "F-43m, No. 216", "e_tot_ev_per_atom": -8.387, "total_magnetization_mub_per_cell": 2.85, "lattice_angstrom": [[0.000, 3.422, 3.422], [3.422, 0.000, 3.422], [3.422, 3.422, 0.000]], "species": ["Th", "Sc", "Cr", "Tc"], "fractional_positions": [[0.000, 0.000, 0.000], [0.500, 0.500, 0.500], [0.250, 0.250, 0.250], [0.750, 0.750, 0.750]]}

***

Record 11
{"formula": "ScVCrTc", "functional": "PBE-GGA", "state": "relaxed", "formation_energy_ev_per_atom": 0.013, "space_group": "F-43m, No. 216", "e_tot_ev_per_atom": -8.847, "total_magnetization_mub_per_cell": 2.33, "lattice_angstrom": [[0.000, 3.129, 3.129], [3.129, 0.000, 3.129], [3.129, 3.129, 0.000]], "species": ["Sc", "V", "Cr", "Tc"], "fractional_positions": [[0.000, 0.000, 0.000], [0.500, 0.500, 0.500], [0.250, 0.250, 0.250], [0.750, 0.750, 0.750]]}

***

Record 12
{"formula": "ScZnCr2Tc", "functional": "PBE-GGA", "state": "relaxed", "formation_energy_ev_per_atom": 1.077, "space_group": "P4/mmm, No. 123", "e_tot_ev_per_atom": -6.366, "total_magnetization_mub_per_cell": 0.00, "lattice_angstrom": [[4.449, 0.000, 0.000], [0.000, 4.449, 0.000], [0.000, 0.000, 4.952]], "species": ["Sc", "Zn", "Cr", "Cr", "Tc"], "fractional_positions": [[0.000, 0.000, 0.000], [0.500, 0.500, 0.000], [0.000, 0.500, 0.500], [0.500, 0.000, 0.500], [0.000, 0.000, 0.500]]}

***

Record 13
{"formula": "ZrScCrTc", "functional": "PBE-GGA", "state": "relaxed", "formation_energy_ev_per_atom": -0.071, "space_group": "F-43m, No. 216", "e_tot_ev_per_atom": -8.788, "total_magnetization_mub_per_cell": 3.29, "lattice_angstrom": [[0.000, 3.297, 3.297], [3.297, 0.000, 3.297], [3.297, 3.297, 0.000]], "species": ["Zr", "Sc", "Cr", "Tc"], "fractional_positions": [[0.000, 0.000, 0.000], [0.500, 0.500, 0.500], [0.250, 0.250, 0.250], [0.750, 0.750, 0.750]]}

***

Record 14
{"formula": "ScCrTe2", "functional": "PBE-GGA", "state": "relaxed", "space_group": "Fm-3m, No. 225", "e_tot_ev_per_atom": -5.636, "total_magnetization_mub_per_cell": 0.00, "raw_formation_energy_kj_per_mol_atoms": -7.4, "polymorph_energy_mev_per_atom": 507.2, "lattice_angstrom": [[0.000, 3.441, 3.441], [3.441, 0.000, 3.441], [3.441, 3.441, 0.000]], "species": ["Sc", "Cr", "Te", "Te"], "fractional_positions": [[0.000, 0.000, 0.000], [0.500, 0.500, 0.500], [0.250, 0.250, 0.250], [0.750, 0.750, 0.750]]}

***

Record 15
{"formula": "ScCr3Te", "functional": "PBE-GGA", "state": "relaxed", "space_group": "Pm-3m, No. 221", "e_tot_ev_per_atom": -6.549, "total_magnetization_mub_per_cell": 11.02, "raw_formation_energy_kj_per_mol_atoms": 108.0, "polymorph_energy_mev_per_atom": 0.0, "lattice_angstrom": [[5.016, 0.000, 0.000], [0.000, 5.016, 0.000], [0.000, 0.000, 5.016]], "species": ["Sc", "Cr", "Cr", "Cr", "Te"], "fractional_positions": [[0.000, 0.000, 0.000], [0.000, 0.500, 0.500], [0.500, 0.000, 0.500], [0.500, 0.500, 0.000], [0.500, 0.500, 0.500]]}

***

Calculated values (states/eV/f.u.) of N(E_F) for the records, taken in order: 1.89; 4.08; 5.10; 2.33; 4.69; 2.51; 4.96; 4.28; 4.15; 3.31; 4.11; 8.43; 2.57; 19.30; 8.62.